# RbCuPd | the Open Quantum Materials Database | GGA-PBE | relaxed
data_RbCuPd
_symmetry_space_group_name_H-M 'F -4 3 m'
_symmetry_Int_Tables_number 216
_symmetry_space_group_name_Hall 'F -4 2 3'
_cell_length_a 7.141
_cell_length_b 7.141
_cell_length_c 7.141
_cell_angle_alpha 90.00
_cell_angle_beta 90.00
_cell_angle_gamma 90.00
loop_
_atom_site_label
_atom_site_type_symbol
_atom_site_fract_x
_atom_site_fract_y
_atom_site_fract_z
Rb1 Rb 0.000 0.000 0.000
Cu1 Cu 0.250 0.250 0.750
Pd1 Pd 0.250 0.250 0.250
# - Polymorph energy (0 for the lowest one): 455.2 meV/atom

---

# RbCuPd | the Open Quantum Materials Database | GGA-PBE | relaxed
data_RbCuPd
_symmetry_space_group_name_H-M 'F -4 3 m'
_symmetry_Int_Tables_number 216
_symmetry_space_group_name_Hall 'F -4 2 3'
_cell_length_a 6.883
_cell_length_b 6.883
_cell_length_c 6.883
_cell_angle_alpha 90.00
_cell_angle_beta 90.00
_cell_angle_gamma 90.00
loop_
_atom_site_label
_atom_site_type_symbol
_atom_site_fract_x
_atom_site_fract_y
_atom_site_fract_z
Rb1 Rb 0.000 0.000 0.000
Cu1 Cu 0.000 0.000 0.500
Pd1 Pd 0.250 0.250 0.750
# - Polymorph energy (0 for the lowest one): 0.0 meV/atom

---

# RbCu3PdS4 | the Open Quantum Materials Database | GGA-PBE | relaxed
data_RbCu3PdS4
_symmetry_space_group_name_H-M 'P -4 3 m'
_symmetry_Int_Tables_number 215
_symmetry_space_group_name_Hall 'P -4 2 3'
_cell_length_a 5.945
_cell_length_b 5.945
_cell_length_c 5.945
_cell_angle_alpha 90.00
_cell_angle_beta 90.00
_cell_angle_gamma 90.00
loop_
_atom_site_label
_atom_site_type_symbol
_atom_site_fract_x
_atom_site_fract_y
_atom_site_fract_z
Rb1 Rb 0.000 0.000 0.000
Cu1 Cu 0.000 0.500 0.500
Pd1 Pd 0.500 0.500 0.500
S1 S 0.279 0.279 0.279
# - Total DFT energy (no corrections): -3.84 eV/atom

---

# RbCuPdS3 | the Open Quantum Materials Database | GGA-PBE | relaxed
data_RbCuPdS3
_symmetry_space_group_name_H-M 'C m c m'
_symmetry_Int_Tables_number 63
_symmetry_space_group_name_Hall '-C 2c 2'
_cell_length_a 3.690
_cell_length_b 14.478
_cell_length_c 9.870
_cell_angle_alpha 90.00
_cell_angle_beta 90.00
_cell_angle_gamma 90.00
loop_
_atom_site_label
_atom_site_type_symbol
_atom_site_fract_x
_atom_site_fract_y
_atom_site_fract_z
Rb1 Rb 0.000 0.247 0.250
Cu1 Cu 0.000 0.040 0.750
Pd1 Pd 0.000 0.500 0.000
S1 S 0.000 0.107 0.541
S2 S 0.000 0.447 0.750
# - Total DFT energy (no corrections): -4.14 eV/atom

---

# RbCuPdSeS2 | the Open Quantum Materials Database | GGA-PBE | relaxed
data_RbCuPdSeS2
_symmetry_space_group_name_H-M 'C m c m'
_symmetry_Int_Tables_number 63
_symmetry_space_group_name_Hall '-C 2c 2'
_cell_length_a 3.756
_cell_length_b 14.829
_cell_length_c 10.170
_cell_angle_alpha 90.00
_cell_angle_beta 90.00
_cell_angle_gamma 90.00
loop_
_atom_site_label
_atom_site_type_symbol
_atom_site_fract_x
_atom_site_fract_y
_atom_site_fract_z
Rb1 Rb 0.000 0.248 0.250
Cu1 Cu 0.000 0.455 0.750
Pd1 Pd 0.000 0.000 0.000
Se1 Se 0.000 0.057 0.750
S1 S 0.000 0.398 0.544
# - Total DFT energy (no corrections): -4.04 eV/atom

---

# RbCuTePdS2 | the Open Quantum Materials Database | GGA-PBE | relaxed
data_RbCuTePdS2
_symmetry_space_group_name_H-M 'C m c m'
_symmetry_Int_Tables_number 63
_symmetry_space_group_name_Hall '-C 2c 2'
_cell_length_a 3.698
_cell_length_b 15.809
_cell_length_c 10.512
_cell_angle_alpha 90.00
_cell_angle_beta 90.00
_cell_angle_gamma 90.00
loop_
_atom_site_label
_atom_site_type_symbol
_atom_site_fract_x
_atom_site_fract_y
_atom_site_fract_z
Rb1 Rb 0.000 0.234 0.250
Cu1 Cu 0.000 0.448 0.750
Te1 Te 0.000 0.066 0.750
Pd1 Pd 0.000 0.000 0.000
S1 S 0.000 0.403 0.547
# - Total DFT energy (no corrections): -3.94 eV/atom

---

# RbCuTePdSe2 | the Open Quantum Materials Database | GGA-PBE | relaxed
data_RbCuTePdSe2
_symmetry_space_group_name_H-M 'C m c m'
_symmetry_Int_Tables_number 63
_symmetry_space_group_name_Hall '-C 2c 2'
_cell_length_a 3.874
_cell_length_b 15.778
_cell_length_c 10.613
_cell_angle_alpha 90.00
_cell_angle_beta 90.00
_cell_angle_gamma 90.00
loop_
_atom_site_label
_atom_site_type_symbol
_atom_site_fract_x
_atom_site_fract_y
_atom_site_fract_z
Rb1 Rb 0.000 0.239 0.250
Cu1 Cu 0.000 0.452 0.750
Te1 Te 0.000 0.061 0.750
Pd1 Pd 0.000 0.000 0.000
Se1 Se 0.000 0.395 0.539
# - Total DFT energy (no corrections): -3.75 eV/atom

---

# RbCu3Te4Pd | the Open Quantum Materials Database | GGA-PBE | relaxed
data_RbCu3Te4Pd
_symmetry_space_group_name_H-M 'P -4 3 m'
_symmetry_Int_Tables_number 215
_symmetry_space_group_name_Hall 'P -4 2 3'
_cell_length_a 6.566
_cell_length_b 6.566
_cell_length_c 6.566
_cell_angle_alpha 90.00
_cell_angle_beta 90.00
_cell_angle_gamma 90.00
loop_
_atom_site_label
_atom_site_type_symbol
_atom_site_fract_x
_atom_site_fract_y
_atom_site_fract_z
Rb1 Rb 0.000 0.000 0.000
Cu1 Cu 0.000 0.500 0.500
Te1 Te 0.277 0.277 0.277
Pd1 Pd 0.500 0.500 0.500
# - Total DFT energy (no corrections): -3.33 eV/atom

---

# CuRePd2 | the Open Quantum Materials Database | GGA-PBE | relaxed
data_CuRePd2
_symmetry_space_group_name_H-M 'F -4 3 m'
_symmetry_Int_Tables_number 216
_symmetry_space_group_name_Hall 'F -4 2 3'
_cell_length_a 6.123
_cell_length_b 6.123
_cell_length_c 6.123
_cell_angle_alpha 90.00
_cell_angle_beta 90.00
_cell_angle_gamma 90.00
loop_
_atom_site_label
_atom_site_type_symbol
_atom_site_fract_x
_atom_site_fract_y
_atom_site_fract_z
Cu1 Cu 0.000 0.000 0.000
Re1 Re 0.250 0.250 0.750
Pd1 Pd 0.000 0.000 0.500
Pd2 Pd 0.250 0.250 0.250
# - ΔE_f: 0.350 eV/atom
# - Total moment: 0.0 Bohr magnetons per cell

---

# CuRe2Pd | the Open Quantum Materials Database | GGA-PBE | relaxed
data_CuRe2Pd
_symmetry_space_group_name_H-M 'F -4 3 m'
_symmetry_Int_Tables_number 216
_symmetry_space_group_name_Hall 'F -4 2 3'
_cell_length_a 6.128
_cell_length_b 6.128
_cell_length_c 6.128
_cell_angle_alpha 90.00
_cell_angle_beta 90.00
_cell_angle_gamma 90.00
loop_
_atom_site_label
_atom_site_type_symbol
_atom_site_fract_x
_atom_site_fract_y
_atom_site_fract_z
Cu1 Cu 0.000 0.000 0.000
Re1 Re 0.000 0.000 0.500
Re2 Re 0.250 0.250 0.250
Pd1 Pd 0.250 0.250 0.750
# - ΔE_f: 0.326 eV/atom
# - Total moment: 0.0 Bohr magnetons per cell

---

# CuReSiPd | the Open Quantum Materials Database | GGA-PBE | relaxed
data_CuReSiPd
_symmetry_space_group_name_H-M 'F -4 3 m'
_symmetry_Int_Tables_number 216
_symmetry_space_group_name_Hall 'F -4 2 3'
_cell_length_a 6.042
_cell_length_b 6.042
_cell_length_c 6.042
_cell_angle_alpha 90.00
_cell_angle_beta 90.00
_cell_angle_gamma 90.00
loop_
_atom_site_label
_atom_site_type_symbol
_atom_site_fract_x
_atom_site_fract_y
_atom_site_fract_z
Cu1 Cu 0.000 0.000 0.000
Re1 Re 0.000 0.000 0.500
Si1 Si 0.250 0.250 0.750
Pd1 Pd 0.250 0.250 0.250
# - Polymorph energy (0 for the lowest one): 0.0 meV/atom
# - Total moment: 0.3 Bohr magnetons per cell

---

# ZnCuRePd | the Open Quantum Materials Database | GGA-PBE | relaxed
data_ZnCuRePd
_symmetry_space_group_name_H-M 'F -4 3 m'
_symmetry_Int_Tables_number 216
_symmetry_space_group_name_Hall 'F -4 2 3'
_cell_length_a 6.107
_cell_length_b 6.107
_cell_length_c 6.107
_cell_angle_alpha 90.00
_cell_angle_beta 90.00
_cell_angle_gamma 90.00
loop_
_atom_site_label
_atom_site_type_symbol
_atom_site_fract_x
_atom_site_fract_y
_atom_site_fract_z
Zn1 Zn 0.000 0.000 0.000
Cu1 Cu 0.250 0.250 0.250
Re1 Re 0.000 0.000 0.500
Pd1 Pd 0.250 0.250 0.750
# - Polymorph energy (0 for the lowest one): 0.0 meV/atom
# - ΔE_f: 0.355 eV/atom
# - Total moment: 6.9 Bohr magnetons per cell

---

| no. | volume (A^3/atom) |
| --- | --- |
| 1 | 30.3 |
| 2 | 27.2 |
| 3 | 23.4 |
| 4 | 22.0 |
| 5 | 23.6 |
| 6 | 25.6 |
| 7 | 27.0 |
| 8 | 31.5 |
| 9 | 14.3 |
| 10 | 14.4 |
| 11 | 13.8 |
| 12 | 14.2 |